Version A
CaPdRu2: relaxed, PBE.

The structure belongs to space group Fm-3m (No. 225); the cell edges are 6.440, 6.440 and 6.440 Å and the angles 90.00°, 90.00° and 90.00°. The asymmetric unit holds Ca at (0.000, 0.000, 0.000), Pd at (0.000, 0.000, 0.500) and Ru at (0.250, 0.250, 0.250).

***

Version B
CaPdRu2: relaxed, PBE.

The structure belongs to space group I-42d (No. 122); the cell edges are 7.756, 7.756 and 5.067 Å and the angles 90.00°, 90.00° and 90.00°. The asymmetric unit holds Ca at (0.000, 0.000, 0.000), Pd at (0.000, 0.000, 0.500) and Ru at (0.210, 0.750, 0.625).

***

Energy ordering: version A at the bottom, the next structure 67 meV per atom above.

***

Version A
CaPdRu3: relaxed, PBE.

The structure belongs to space group Pm-3m (No. 221); the cell edges are 4.656, 4.656 and 4.656 Å and the angles 90.00°, 90.00° and 90.00°. The asymmetric unit holds Ca at (0.000, 0.000, 0.000), Pd at (0.500, 0.500, 0.500) and Ru at (0.000, 0.000, 0.500).

***

Version B
CaPdRu3: relaxed, PBE.

The structure belongs to space group Pm-3m (No. 221); the cell edges are 4.820, 4.820 and 4.820 Å and the angles 90.00°, 90.00° and 90.00°. The asymmetric unit holds Ca at (0.000, 0.000, 0.000), Pd at (0.500, 0.500, 0.500) and Ru at (0.000, 0.500, 0.500).

***

Energy ordering: version B at the bottom, the next structure 897 meV per atom above.

***

Version A
CaPd2Ru: relaxed, PBE.

The structure belongs to space group Fm-3m (No. 225); the cell edges are 6.567, 6.567 and 6.567 Å and the angles 90.00°, 90.00° and 90.00°. The asymmetric unit holds Ca at (0.000, 0.000, 0.000), Pd at (0.250, 0.250, 0.250) and Ru at (0.000, 0.000, 0.500).

***

Version B
CaPd2Ru: relaxed, PBE.

The structure belongs to space group I-42d (No. 122); the cell edges are 4.082, 4.082 and 18.388 Å and the angles 90.00°, 90.00° and 90.00°. The asymmetric unit holds Ca at (0.000, 0.000, 0.000), Pd at (0.221, 0.250, 0.625) and Ru at (0.000, 0.000, 0.500).

***

Energy ordering: version A at the bottom, the next structure 320 meV per atom above.

***

Version A
CaPdS3: relaxed, PBE.

The structure belongs to space group Pm-3m (No. 221); the cell edges are 4.746, 4.746 and 4.746 Å and the angles 90.00°, 90.00° and 90.00°. The asymmetric unit holds Ca at (0.000, 0.000, 0.000), Pd at (0.500, 0.500, 0.500) and S at (0.000, 0.500, 0.500).

***

Version B
CaPdS3: relaxed, PBE.

The structure belongs to space group Pm-3m (No. 221); the cell edges are 5.234, 5.234 and 5.234 Å and the angles 90.00°, 90.00° and 90.00°. The asymmetric unit holds Ca at (0.000, 0.000, 0.000), Pd at (0.500, 0.500, 0.500) and S at (0.000, 0.000, 0.500).

***

Energy ordering: version A at the bottom, the next structure 1013 meV per atom above.

***

Version A
CaSbPd2: relaxed, PBE.

The structure belongs to space group Pnma (No. 62); the cell edges are 7.630, 7.263 and 6.187 Å and the angles 90.00°, 90.00° and 90.00°. The asymmetric unit holds Ca at (0.022, 0.250, 0.160), Sb at (0.125, 0.750, 0.339) and Pd at (0.177, 0.051, 0.573).

***

Version B
CaSbPd2: relaxed, PBE.

The structure belongs to space group Immm (No. 71); the cell edges are 3.133, 5.192 and 11.010 Å and the angles 90.00°, 90.00° and 90.00°. The asymmetric unit holds Ca at (0.000, 0.000, 0.000), Sb at (0.000, 0.000, 0.500) and Pd at (0.000, 0.000, 0.261).

***

Version C
CaSbPd2: relaxed, PBE.

The structure belongs to space group R-3m (No. 166, hexagonal axes); the cell edges are 4.6198, 4.6198 and 14.1514 Å and the angles 90.00°, 90.00° and 120.00°. The asymmetric unit holds Ca at (0.0000, 0.0000, 0.0000), Sb at (0.0000, 0.0000, 0.5000) and Pd at (0.0000, 0.0000, 0.2075).

***

Energy ordering: version A at the bottom, the next structure 65 meV per atom above.

***

Version A
CaSb3Pd: relaxed, PBE.

The structure belongs to space group Pm-3m (No. 221); the cell edges are 5.303, 5.303 and 5.303 Å and the angles 90.00°, 90.00° and 90.00°. The asymmetric unit holds Ca at (0.000, 0.000, 0.000), Sb at (0.000, 0.500, 0.500) and Pd at (0.500, 0.500, 0.500).

***

Version B
CaSb3Pd: relaxed, PBE.

The structure belongs to space group Pbcm (No. 57); the cell edges are 13.292, 6.294 and 6.081 Å and the angles 90.00°, 90.00° and 90.00°. The asymmetric unit holds Ca at (0.190, 0.010, 0.250), Sb at (0.001, 0.250, 0.000), Sb at (0.281, 0.527, 0.250), Sb at (0.438, 0.614, 0.750) and Pd at (0.397, 0.250, 0.000).

***

Version C
CaSb3Pd: relaxed, PBE.

The structure belongs to space group Pm-3m (No. 221); the cell edges are 5.626, 5.626 and 5.626 Å and the angles 90.00°, 90.00° and 90.00°. The asymmetric unit holds Ca at (0.000, 0.000, 0.000), Sb at (0.000, 0.000, 0.500) and Pd at (0.500, 0.500, 0.500).

***

Energy ordering: version B at the bottom, the next structure 409 meV per atom above.

***

Version A
CaSbPd6: relaxed, PBE.

The structure belongs to space group R-3m (No. 166, hexagonal axes); the cell edges are 5.5266, 5.5266 and 20.0860 Å and the angles 90.00°, 90.00° and 120.00°. The asymmetric unit holds Ca at (0.0000, 0.0000, 0.0000), Sb at (0.0000, 0.0000, 0.5000) and Pd at (0.0086, 0.5043, 0.9333).

***

Version B
CaSbPd6: relaxed, PBE.

The structure belongs to space group P4/mmm (No. 123); the cell edges are 4.129, 4.129 and 8.017 Å and the angles 90.00°, 90.00° and 90.00°. The asymmetric unit holds Ca at (0.000, 0.000, 0.000), Sb at (0.000, 0.000, 0.500), Pd at (0.000, 0.500, 0.263), Pd at (0.500, 0.500, 0.000) and Pd at (0.500, 0.500, 0.500).

***

Energy ordering: version B at the bottom, the next structure 286 meV per atom above.

***

Version A
CaSb2Pd7: relaxed, PBE.

The structure belongs to space group Cmmm (No. 65); the cell edges are 7.429, 12.996 and 4.609 Å and the angles 90.00°, 90.00° and 90.00°. The asymmetric unit holds Ca at (0.000, 0.000, 0.000), Sb at (0.000, 0.301, 0.500), Pd at (0.000, 0.214, 0.000), Pd at (0.000, 0.500, 0.500) and Pd at (0.182, 0.113, 0.500).

***

Version B
CaSb2Pd7: relaxed, PBE.

The structure belongs to space group I4/mmm (No. 139); the cell edges are 4.118, 4.118 and 22.242 Å and the angles 90.00°, 90.00° and 90.00°. The asymmetric unit holds Ca at (0.000, 0.000, 0.000), Sb at (0.000, 0.000, 0.330), Pd at (0.000, 0.000, 0.500), Pd at (0.000, 0.500, 0.096) and Pd at (0.000, 0.500, 0.250).

***

Energy ordering: version B at the bottom, the next structure 253 meV per atom above.

***

Version A
CaSbPd3: relaxed, PBE.

The structure belongs to space group Pm-3m (No. 221); the cell edges are 4.979, 4.979 and 4.979 Å and the angles 90.00°, 90.00° and 90.00°. The asymmetric unit holds Ca at (0.000, 0.000, 0.000), Sb at (0.500, 0.500, 0.500) and Pd at (0.000, 0.500, 0.500).

***

Version B
CaSbPd3: relaxed, PBE.

The structure belongs to space group Imma (No. 74); the cell edges are 5.574, 8.002 and 9.081 Å and the angles 90.00°, 90.00° and 90.00°. The asymmetric unit holds Ca at (0.000, 0.250, 0.003), Sb at (0.000, 0.000, 0.500), Pd at (0.000, 0.250, 0.685) and Pd at (0.250, 0.059, 0.250).

***

Version C
CaSbPd3: relaxed, PBE.

The structure belongs to space group Pm-3m (No. 221); the cell edges are 4.907, 4.907 and 4.907 Å and the angles 90.00°, 90.00° and 90.00°. The asymmetric unit holds Ca at (0.000, 0.000, 0.000), Sb at (0.500, 0.500, 0.500) and Pd at (0.000, 0.000, 0.500).

***

Energy ordering: version B at the bottom, the next structure 329 meV per atom above.

***

Version A
CaSb2Pd6: relaxed, PBE.

The structure belongs to space group Immm (No. 71); the cell edges are 4.390, 7.709 and 10.719 Å and the angles 90.00°, 90.00° and 90.00°. The asymmetric unit holds Ca at (0.000, 0.000, 0.000), Sb at (0.000, 0.000, 0.305), Pd at (0.000, 0.214, 0.500) and Pd at (0.000, 0.301, 0.174).

***

Version B
CaSb2Pd6: relaxed, PBE.

The structure belongs to space group P6/mmm (No. 191); the cell edges are 5.6631, 5.6631 and 6.9147 Å and the angles 90.00°, 90.00° and 120.00°. The asymmetric unit holds Ca at (0.0000, 0.0000, 0.0000), Sb at (0.3333, 0.6667, 0.5000) and Pd at (0.0000, 0.5000, 0.1963).

***

Energy ordering: version A at the bottom, the next structure 57 meV per atom above.

***

Version A
CaSbTe2Pd: relaxed, PBE.

The structure belongs to space group P4/mmm (No. 123); the cell edges are 5.703, 5.703 and 5.727 Å and the angles 90.00°, 90.00° and 90.00°. The asymmetric unit holds Ca at (0.000, 0.000, 0.000), Sb at (0.000, 0.000, 0.500), Te at (0.000, 0.500, 0.000) and Pd at (0.500, 0.500, 0.500).

***

Version B
CaSbTe2Pd: relaxed, PBE.

The structure belongs to space group P4/mmm (No. 123); the cell edges are 5.550, 5.550 and 5.016 Å and the angles 90.00°, 90.00° and 90.00°. The asymmetric unit holds Ca at (0.000, 0.000, 0.000), Sb at (0.500, 0.500, 0.000), Te at (0.000, 0.500, 0.500) and Pd at (0.500, 0.500, 0.500).

***

Energy ordering: version B at the bottom, the next structure 920 meV per atom above.